Entry 1:
VASP calculation (GGA-PBE) on a geometry-optimized CsLa2SO structure.

Geometry as extended XYZ:
```
5
Lattice="-2.106 3.199 -4.509 -2.395 -4.350 -1.967 -4.851 1.246 3.150" Properties=species:S:1:pos:R:3 pbc="T T T"
La -2.425 0.623 1.575
O -4.676 0.047 -1.663
Cs 0.000 0.000 0.000
La -1.053 1.599 -2.255
S -1.197 -2.175 -0.984
```

Summary:
Fermi-level density of states	1.422	states/eV per atom
crystal system	tetragonal
space-group type	No. 123
formation energy without anion corrections	1.021	eV per atom

---

Entry 2:
VASP calculation (GGA-PBE) on a geometry-optimized Sm2Er2Bi2C structure.

Geometry as extended XYZ:
```
7
Lattice="-2.035 0.015 4.364 3.662 -2.613 1.717 3.219 8.169 -1.183" Properties=species:S:1:pos:R:3 pbc="T T T"
C 0.000 0.000 0.000
Sm 3.580 3.415 4.315
Bi 2.900 4.941 1.336
Sm 1.265 2.156 0.583
Bi 1.945 0.630 3.562
Er 1.831 -1.307 0.858
Er -1.018 0.007 2.182
```

Summary:
Fermi-level density of states	0.967	states/eV per atom
crystal system	tetragonal
VASP energy	-5.771	eV per atom
space-group type	No. 139

---

Entry 3:
VASP calculation (GGA-PBE) on a geometry-optimized CeErCl6 structure.

Geometry as extended XYZ:
```
8
Lattice="6.943 -0.193 -1.063 -3.809 5.807 -1.063 0.159 0.285 6.755" Properties=species:S:1:pos:R:3 pbc="T T T"
Cl 0.908 1.627 4.458
Er 1.646 2.950 2.314
Cl -0.678 2.424 1.191
Cl 2.419 0.696 1.191
Cl 0.874 5.204 3.438
Cl 3.970 3.476 3.438
Ce 0.000 0.000 0.000
Cl 2.384 4.273 0.171
```

Summary:
Fermi-level density of states	0.993	states/eV per atom
crystal system	monoclinic
space-group type	No. 12
formation energy without anion corrections	-2.213	eV per atom

---

Entry 4:
VASP calculation (GGA-PBE) on a geometry-optimized TlSI2N structure.

Geometry as extended XYZ:
```
5
Lattice="-1.432 -5.649 3.233 -2.523 -2.570 -5.608 3.060 -1.238 -0.809" Properties=species:S:1:pos:R:3 pbc="T T T"
N 1.530 -0.619 -0.404
Tl -0.447 -4.729 -1.592
I -1.261 -1.285 -2.804
S 0.000 0.000 0.000
I -0.716 -2.825 1.617
```

Summary:
Fermi-level density of states	0.846	states/eV per atom
crystal system	tetragonal
space-group type	No. 123
formation energy without anion corrections	0.444	eV per atom
energy above the most stable polymorph in this dataset	0	meV per atom

---

Entry 5:
VASP calculation (GGA-PBE) on a geometry-optimized Rb2CdPtI6 structure.

Geometry as extended XYZ:
```
10
Lattice="-6.247 -0.582 5.638 5.576 -2.137 5.958 0.386 4.418 7.194" Properties=species:S:1:pos:R:3 pbc="T T T"
I 2.937 -1.790 5.887
Cd -0.336 -1.359 5.798
Rb -3.098 1.239 9.315
I -0.279 0.424 12.355
I -0.522 -2.111 9.008
I -3.609 -0.929 5.709
Rb 2.813 0.461 9.475
I -0.150 -0.607 2.588
I -0.006 1.276 6.435
Pt 0.000 0.000 0.000
```

Summary:
crystal system	tetragonal
space-group type	No. 139
formation energy without anion corrections	-0.741	eV per atom

---

Entry 6:
VASP calculation (GGA-PBE) on a geometry-optimized KLiThO3 structure.

Geometry as extended XYZ:
```
12
Lattice="3.676 0.000 0.000 -1.838 5.968 0.000 0.000 0.000 9.290" Properties=species:S:1:pos:R:3 pbc="T T T"
O 1.838 5.460 2.322
K 1.838 2.798 6.967
Th 0.000 0.000 4.645
O 0.000 4.666 8.705
Th 0.000 0.000 0.000
O 1.838 1.301 0.585
Li 0.000 5.467 6.967
K 0.000 3.169 2.322
O 0.000 0.507 6.967
O 0.000 4.666 5.230
O 1.838 1.301 4.060
Li 1.838 0.501 2.322
```

Summary:
Fermi-level density of states	0.000	states/eV per atom
crystal system	orthorhombic
space-group type	No. 63
formation energy without anion corrections	-2.681	eV per atom

---

Entry 7:
VASP calculation (GGA-PBE) on a geometry-optimized NiAsSe2N structure.

Geometry as extended XYZ:
```
5
Lattice="-3.508 0.698 2.407 0.533 -3.838 1.890 2.451 1.837 3.040" Properties=species:S:1:pos:R:3 pbc="T T T"
As 1.225 0.918 1.520
Se 0.266 -1.919 0.945
Ni -0.262 -0.652 3.668
N 0.000 0.000 0.000
Se -1.754 0.349 1.203
```

Summary:
Fermi-level density of states	1.051	states/eV per atom
crystal system	tetragonal
space-group type	No. 123
formation energy without anion corrections	1.036	eV per atom
energy above the most stable polymorph in this dataset	453	meV per atom

---

Entry 8:
VASP calculation (GGA-PBE) on a geometry-optimized K5PtAuO2 structure.

Geometry as extended XYZ:
```
9
Lattice="-1.753 -5.053 -0.625 3.717 -0.818 -3.809 5.963 -2.865 6.433" Properties=species:S:1:pos:R:3 pbc="T T T"
O 4.639 -2.229 5.004
K 2.982 -1.433 3.217
Au 3.963 -4.368 0.999
K 0.386 -3.133 1.049
K 3.825 -4.785 4.759
O 1.325 -0.636 1.429
Pt 0.000 0.000 0.000
K 6.559 -2.668 3.167
K 3.120 -1.015 -0.543
```

Summary:
Fermi-level density of states	0.927	states/eV per atom
crystal system	tetragonal
space-group type	No. 123
formation energy without anion corrections	-0.767	eV per atom

---

Entry 9:
VASP calculation (GGA-PBE) on a geometry-optimized CaPuTlRh structure.

Geometry as extended XYZ:
```
4
Lattice="-2.735 4.156 -1.330 -5.140 -0.254 -0.195 -2.836 2.454 3.530" Properties=species:S:1:pos:R:3 pbc="T T T"
Tl 0.000 0.000 0.000
Ca -8.033 4.767 1.503
Pu -2.678 1.589 0.501
Rh -5.355 3.178 1.002
```

Summary:
Fermi-level density of states	2.718	states/eV per atom
crystal system	cubic
space-group type	No. 216
energy above the most stable polymorph in this dataset	177	meV per atom

---

Entry 10:
VASP calculation (GGA-PBE) on a geometry-optimized LaTb2Ag structure.

Geometry as extended XYZ:
```
4
Lattice="-2.820 0.086 -2.258 -2.509 -2.597 0.143 -7.277 4.868 6.381" Properties=species:S:1:pos:R:3 pbc="T T T"
La -6.303 1.178 2.133
Tb -2.980 0.412 0.846
Ag 0.000 0.000 0.000
Tb -9.625 1.945 3.420
```

Summary:
Fermi-level density of states	1.362	states/eV per atom
crystal system	trigonal
space-group type	No. 166
energy above the most stable polymorph in this dataset	116	meV per atom

---

Entry 11:
VASP calculation (GGA-PBE) on a geometry-optimized CrCoHg2 structure.

Geometry as extended XYZ:
```
4
Lattice="-4.737 -0.605 2.271 -4.126 -3.208 0.809 0.501 -2.204 4.132" Properties=species:S:1:pos:R:3 pbc="T T T"
Cr -1.815 -1.396 1.726
Hg -8.735 -3.837 3.178
Hg -6.472 -4.495 5.296
Co -4.385 -3.109 3.700
```

Summary:
Fermi-level density of states	0.847	states/eV per atom
crystal system	monoclinic
space-group type	No. 8
energy above the most stable polymorph in this dataset	143	meV per atom

---

Entry 12:
VASP calculation (GGA-PBE) on a geometry-optimized Al2WCl structure.

Geometry as extended XYZ:
```
4
Lattice="-2.381 -2.469 -3.557 3.703 -3.265 -0.212 -1.267 -1.563 1.933" Properties=species:S:1:pos:R:3 pbc="T T T"
Cl -1.824 -2.016 -0.812
Al 0.661 -2.867 -1.884
Al 0.000 0.000 0.000
W 1.218 -2.414 0.860
```

Summary:
Fermi-level density of states	0.490	states/eV per atom
crystal system	tetragonal
space-group type	No. 123
formation energy without anion corrections	0.149	eV per atom
energy above the most stable polymorph in this dataset	280	meV per atom

---

Entry 13:
VASP calculation (GGA-PBE) on a geometry-optimized La2Ho3PuSe6 structure.

Geometry as extended XYZ:
```
12
Lattice="4.119 0.000 0.000 0.000 8.388 0.229 -2.060 -2.490 8.752" Properties=species:S:1:pos:R:3 pbc="T T T"
Ho 2.060 -0.276 5.856
La 0.000 1.959 2.970
Se 2.060 -0.343 8.717
Pu 2.060 0.000 0.000
Se 0.000 6.240 0.264
Se 0.000 6.140 6.022
Ho 0.000 6.174 3.124
Se 2.060 4.185 2.979
La 2.060 3.938 6.011
Se 0.000 1.712 6.002
Ho 2.060 4.194 0.114
Se 2.060 -0.242 2.958
```

Summary:
Fermi-level density of states	0.857	states/eV per atom
crystal system	monoclinic
space-group type	No. 12
formation energy without anion corrections	-1.800	eV per atom

---

Entry 14:
VASP calculation (GGA-PBE) on a geometry-optimized Hg4Sb2ICl2 structure.

Geometry as extended XYZ:
```
9
Lattice="-2.359 -1.388 3.269 -5.478 -3.858 -8.371 6.840 -3.201 3.576" Properties=species:S:1:pos:R:3 pbc="T T T"
Cl -3.283 -5.369 -1.868
Hg 3.317 -3.386 3.737
Sb 2.659 -5.437 -0.389
Hg -4.314 -5.062 -5.262
Sb -3.656 -3.011 -1.136
Cl 2.286 -3.078 0.343
Hg -0.610 -5.621 -0.047
Hg -0.387 -2.826 -1.479
I 0.000 0.000 0.000
```

Summary:
Fermi-level density of states	0.195	states/eV per atom
crystal system	monoclinic
space-group type	No. 12
formation energy without anion corrections	-0.199	eV per atom

---

Entry 15:
VASP calculation (GGA-PBE) on a geometry-optimized Zn2PRh structure.

Geometry as extended XYZ:
```
4
Lattice="4.671 0.000 0.000 0.000 2.855 0.011 0.000 0.402 4.332" Properties=species:S:1:pos:R:3 pbc="T T T"
P 2.336 0.000 0.000
Rh 2.336 1.628 2.172
Zn 0.000 0.925 3.220
Zn 0.000 2.332 1.123
```

Summary:
Fermi-level density of states	0.510	states/eV per atom
crystal system	monoclinic
VASP energy	-3.894	eV per atom
space-group type	No. 10

---

Entry 16:
VASP calculation (GGA-PBE) on a geometry-optimized ZnSi2Rh structure.

Geometry as extended XYZ:
```
4
Lattice="-4.439 -1.111 -0.655 -0.096 -3.574 -2.931 2.391 0.603 3.910" Properties=species:S:1:pos:R:3 pbc="T T T"
Zn 0.013 -2.657 -0.407
Rh -2.158 -1.425 0.731
Si 0.000 0.000 0.000
Si -2.268 -2.342 -1.793
```

Summary:
Fermi-level density of states	0.755	states/eV per atom
crystal system	tetragonal
space-group type	No. 139
formation energy without anion corrections	-0.043	eV per atom

---

Entry 17:
VASP calculation (GGA-PBE) on a geometry-optimized NdF4 structure.

Geometry as extended XYZ:
```
5
Lattice="-3.785 1.004 2.390 -2.086 -3.691 -1.754 1.539 -2.533 3.502" Properties=species:S:1:pos:R:3 pbc="T T T"
Nd -2.166 -2.610 2.069
F 0.000 0.000 0.000
F -1.123 -0.765 2.946
F -2.936 -1.343 0.318
F -0.274 -3.112 0.874
```

Summary:
Fermi-level density of states	1.911	states/eV per atom
crystal system	cubic
space-group type	No. 221
formation energy without anion corrections	-3.014	eV per atom

---

Entry 18:
VASP calculation (GGA-PBE) on a geometry-optimized SrRuSe2 structure.

Geometry as extended XYZ:
```
8
Lattice="6.056 0.000 0.000 0.000 6.056 0.000 3.028 3.028 6.400" Properties=species:S:1:pos:R:3 pbc="T T T"
Ru 0.000 0.000 0.000
Sr 3.028 6.056 3.200
Se 7.569 8.091 4.800
Sr 3.028 3.028 0.000
Se 5.063 1.514 1.600
Ru 6.056 3.028 3.200
Se 0.993 4.542 1.600
Se 4.542 4.021 4.800
```

Summary:
Fermi-level density of states	1.312	states/eV per atom
crystal system	tetragonal
space-group type	No. 122
formation energy without anion corrections	-0.606	eV per atom
energy above the most stable polymorph in this dataset	280	meV per atom

---

Entry 19:
VASP calculation (GGA-PBE) on a geometry-optimized Tb2MnTl structure.

Geometry as extended XYZ:
```
4
Lattice="5.239 0.000 0.000 2.620 4.537 0.000 2.620 1.512 4.278" Properties=species:S:1:pos:R:3 pbc="T T T"
Tb 7.859 4.537 3.208
Tb 2.620 1.512 1.069
Tl 5.239 3.025 2.139
Mn 0.000 0.000 0.000
```

Summary:
Fermi-level density of states	1.266	states/eV per atom
crystal system	cubic
space-group type	No. 225
energy above the most stable polymorph in this dataset	60	meV per atom

---

Entry 20:
VASP calculation (GGA-PBE) on a geometry-optimized PmNd3Y8 structure.

Geometry as extended XYZ:
```
12
Lattice="7.622 -0.465 -3.603 -4.449 7.072 -1.219 -0.292 0.465 8.425" Properties=species:S:1:pos:R:3 pbc="T T T"
Nd -2.371 3.768 3.603
Y 0.296 5.402 3.573
Y 2.624 1.607 -0.030
Y -3.042 4.835 6.629
Y 5.124 0.576 -1.814
Nd 0.401 5.187 -0.610
Y 0.143 2.702 1.789
Y -1.343 2.135 6.064
Y -3.438 5.465 1.203
Pm 0.000 0.000 0.000
Y -4.086 6.496 4.205
Nd 2.479 1.884 4.213
```

Summary:
Fermi-level density of states	1.604	states/eV per atom
crystal system	tetragonal
VASP energy	-5.272	eV per atom
space-group type	No. 121

---

Entry 21:
VASP calculation (GGA-PBE) on a geometry-optimized Pr2SmY5Ho structure.

Geometry as extended XYZ:
```
18
Lattice="8.659 0.000 0.000 0.000 8.659 0.000 -4.330 -4.330 7.942" Properties=species:S:1:pos:R:3 pbc="T T T"
Ho 0.000 0.000 3.971
Y 1.819 2.511 5.719
Y 1.819 6.148 2.223
Pr 5.358 1.029 0.000
Y 0.000 0.000 0.000
Ho 4.330 4.330 3.971
Pr 7.631 5.358 0.000
Y 6.840 2.511 2.223
Sm 0.000 4.330 3.971
Pr 1.029 3.301 0.000
Y 4.330 4.330 0.000
Y -2.511 1.819 5.719
Y 2.511 1.819 2.223
Pr 3.301 7.631 0.000
Y 6.148 6.840 2.223
Y -1.819 -2.511 5.719
Y 2.511 -1.819 5.719
Sm 4.330 0.000 3.971
```

Summary:
Fermi-level density of states	1.220	states/eV per atom
crystal system	tetragonal
VASP energy	-5.438	eV per atom
space-group type	No. 140

---

Entry 22:
VASP calculation (GGA-PBE) on a geometry-optimized BaAg2Au2 structure.

Geometry as extended XYZ:
```
5
Lattice="-1.813 2.645 -3.109 -3.610 -2.627 -0.129 -5.390 3.469 2.886" Properties=species:S:1:pos:R:3 pbc="T T T"
Ba 0.000 0.000 0.000
Au -3.298 0.766 -0.633
Ag -4.957 3.061 -0.921
Ag -5.856 0.426 0.569
Au -7.515 2.721 0.281
```

Summary:
Fermi-level density of states	0.416	states/eV per atom
crystal system	tetragonal
space-group type	No. 139
energy above the most stable polymorph in this dataset	0	meV per atom

---

Entry 23:
VASP calculation (GGA-PBE) on a geometry-optimized GaTe2Br structure.

Geometry as extended XYZ:
```
8
Lattice="7.463 0.000 0.000 0.000 7.463 0.000 3.731 3.731 5.069" Properties=species:S:1:pos:R:3 pbc="T T T"
Te 5.597 6.022 3.802
Te 2.291 5.597 1.267
Br 7.463 3.731 2.534
Br 0.000 0.000 0.000
Ga 3.731 7.463 2.534
Te 9.329 8.904 3.802
Ga 3.731 3.731 0.000
Te 5.172 1.866 1.267
```

Summary:
Fermi-level density of states	1.004	states/eV per atom
crystal system	tetragonal
space-group type	No. 122
formation energy without anion corrections	0.042	eV per atom
energy above the most stable polymorph in this dataset	388	meV per atom

---

Entry 24:
VASP calculation (GGA-PBE) on a geometry-optimized TmPuRh structure.

Geometry as extended XYZ:
```
3
Lattice="4.768 0.000 0.000 2.384 4.129 0.000 2.384 1.376 3.893" Properties=species:S:1:pos:R:3 pbc="T T T"
Pu 0.000 0.000 0.000
Tm 4.768 2.753 1.947
Rh 2.384 1.376 0.973
```

Summary:
Fermi-level density of states	3.477	states/eV per atom
crystal system	cubic
space-group type	No. 216
energy above the most stable polymorph in this dataset	44	meV per atom

---

Entry 25:
VASP calculation (GGA-PBE) on a geometry-optimized CdSi3H structure.

Geometry as extended XYZ:
```
5
Lattice="5.061 0.000 0.000 0.000 5.061 0.000 0.000 0.000 5.061" Properties=species:S:1:pos:R:3 pbc="T T T"
Si 0.000 2.531 0.000
H 2.531 2.531 2.531
Si 2.531 0.000 0.000
Si 0.000 0.000 2.531
Cd 0.000 0.000 0.000
```

Summary:
Fermi-level density of states	0.812	states/eV per atom
crystal system	cubic
space-group type	No. 221
energy above the most stable polymorph in this dataset	1092	meV per atom

---

Number 1: calculated volume 187 Å³/cell. Number 2: calculated volume 190 Å³/cell. Number 3: calculated volume 272 Å³/cell. Number 4: calculated volume 151 Å³/cell. Number 5: calculated volume 426 Å³/cell. Number 6: calculated volume 204 Å³/cell. Number 7: calculated volume 80 Å³/cell. Number 8: calculated volume 268 Å³/cell. Number 9: calculated volume 97 Å³/cell. Number 10: calculated volume 120 Å³/cell. Number 11: calculated volume 68 Å³/cell. Number 12: calculated volume 68 Å³/cell. Number 13: calculated volume 305 Å³/cell. Number 14: calculated volume 292 Å³/cell. Number 15: calculated volume 58 Å³/cell. Number 16: calculated volume 56 Å³/cell. Number 17: calculated volume 97 Å³/cell. Number 18: calculated volume 235 Å³/cell. Number 19: calculated volume 102 Å³/cell. Number 20: calculated volume 441 Å³/cell. Number 21: calculated volume 596 Å³/cell. Number 22: calculated volume 125 Å³/cell. Number 23: calculated volume 282 Å³/cell. Number 24: calculated volume 77 Å³/cell. Number 25: calculated volume 130 Å³/cell.